Density functional theory data (meta-GGA SCAN) for a PBEsol-optimized structure of SiIr2Rh.

a = 2.699 Å, b = 4.505 Å, c = 4.525 Å
α = 90.00°, β = 90.00°, γ = 90.00°
Positions (direct):
Ir1 0.000 0.000 0.000
Ir2 0.500 0.000 0.500
Rh1 0.500 0.500 0.000
Si1 0.000 0.500 0.500

formation energy from raw total energies	-0.10	eV/atom